[1]
# Ba2CuO4 (PBE, relaxed)
# raw formation energy = -1.614 eV/atom
# VASP energy = -5.58 eV/atom
data_Ba2CuO4
_chemical_formula_sum 'Ba2 Cu1 O4'
_cell_length_a 3.900
_cell_length_b 3.900
_cell_length_c 7.523
_cell_angle_alpha 90.00
_cell_angle_beta 90.00
_cell_angle_gamma 90.00
_space_group_name_H-M_alt 'P 1'
_space_group_IT_number 1
loop_
_space_group_symop_operation_xyz
'x,y,z'
loop_
_atom_site_label
_atom_site_fract_x
_atom_site_fract_y
_atom_site_fract_z
_atom_site_occupancy
Ba1 0.000 0.000 0.242 1
Ba2 0.000 0.000 0.758 1
Cu1 0.500 0.500 0.500 1
O1 0.000 0.500 0.500 1
O2 0.500 0.000 0.500 1
O3 0.500 0.500 0.103 1
O4 0.500 0.500 0.897 1

***

[2]
# Ba10Cu5O17 (PBE, relaxed)
# raw formation energy = -1.838 eV/atom
# VASP energy = -5.71 eV/atom
data_Ba10Cu5O17
_chemical_formula_sum 'Ba10 Cu5 O17'
_cell_length_a 5.796
_cell_length_b 9.086
_cell_length_c 10.829
_cell_angle_alpha 93.98
_cell_angle_beta 91.96
_cell_angle_gamma 107.00
_space_group_name_H-M_alt 'P 1'
_space_group_IT_number 1
loop_
_space_group_symop_operation_xyz
'x,y,z'
loop_
_atom_site_label
_atom_site_fract_x
_atom_site_fract_y
_atom_site_fract_z
_atom_site_occupancy
Ba1 0.034 0.030 0.184 1
Ba2 0.198 0.373 0.411 1
Ba3 0.219 0.429 0.783 1
Ba4 0.396 0.773 0.012 1
Ba5 0.411 0.826 0.382 1
Ba6 0.589 0.174 0.618 1
Ba7 0.604 0.227 0.988 1
Ba8 0.781 0.571 0.217 1
Ba9 0.802 0.627 0.589 1
Ba10 0.966 0.970 0.816 1
Cu1 0.000 0.000 0.500 1
Cu2 0.208 0.398 0.102 1
Cu3 0.383 0.793 0.706 1
Cu4 0.617 0.207 0.294 1
Cu5 0.792 0.602 0.898 1
O1 0.077 0.692 0.807 1
O2 0.089 0.178 0.617 1
O3 0.098 0.228 0.974 1
O4 0.277 0.085 0.414 1
O5 0.280 0.585 0.212 1
O6 0.286 0.632 0.575 1
O7 0.410 0.297 0.204 1
O8 0.454 0.982 0.810 1
O9 0.500 0.500 0.000 1
O10 0.546 0.018 0.190 1
O11 0.590 0.703 0.796 1
O12 0.714 0.368 0.425 1
O13 0.720 0.415 0.788 1
O14 0.723 0.915 0.586 1
O15 0.902 0.772 0.026 1
O16 0.911 0.822 0.383 1
O17 0.923 0.308 0.193 1

***

[3]
# BaCuOsO6 (PBE, relaxed)
# raw formation energy = -1.311 eV/atom
# VASP energy = -6.53 eV/atom
data_BaCuOsO6
_chemical_formula_sum 'Ba1 Cu1 Os1 O6'
_cell_length_a 5.268
_cell_length_b 5.268
_cell_length_c 5.580
_cell_angle_alpha 92.33
_cell_angle_beta 92.33
_cell_angle_gamma 115.86
_space_group_name_H-M_alt 'P 1'
_space_group_IT_number 1
loop_
_space_group_symop_operation_xyz
'x,y,z'
loop_
_atom_site_label
_atom_site_fract_x
_atom_site_fract_y
_atom_site_fract_z
_atom_site_occupancy
Ba1 0.000 0.000 0.000 1
Cu1 0.303 0.697 0.500 1
Os1 0.641 0.359 0.500 1
O1 0.359 0.055 0.655 1
O2 0.359 0.426 0.308 1
O3 0.574 0.641 0.692 1
O4 0.605 0.096 0.266 1
O5 0.904 0.395 0.734 1
O6 0.945 0.641 0.345 1

***

[4]
# Ba2Cu2OsO6 (PBE, relaxed)
# raw formation energy = -1.495 eV/atom
# VASP energy = -6.31 eV/atom
data_Ba2Cu2OsO6
_chemical_formula_sum 'Ba2 Cu2 Os1 O6'
_cell_length_a 6.293
_cell_length_b 6.293
_cell_length_c 6.293
_cell_angle_alpha 56.52
_cell_angle_beta 56.52
_cell_angle_gamma 56.52
_space_group_name_H-M_alt 'P 1'
_space_group_IT_number 1
loop_
_space_group_symop_operation_xyz
'x,y,z'
loop_
_atom_site_label
_atom_site_fract_x
_atom_site_fract_y
_atom_site_fract_z
_atom_site_occupancy
Ba1 0.224 0.224 0.224 1
Ba2 0.776 0.776 0.776 1
Cu1 0.416 0.416 0.416 1
Cu2 0.584 0.584 0.584 1
Os1 0.000 0.000 0.000 1
O1 0.222 0.773 0.773 1
O2 0.227 0.227 0.778 1
O3 0.227 0.778 0.227 1
O4 0.773 0.222 0.773 1
O5 0.773 0.773 0.222 1
O6 0.778 0.227 0.227 1